(1)
This record from Alexandria describes BeSbTe2 after structural relaxation. The functional is GGA-PBE.

**Calculated total energy**: -0.119 hartree per atom

Unit cell a=3.6531 b=3.6531 c=8.6909 alpha=90.00 beta=90.00 gamma=118.66
Closest atoms and distances in Å follow each position.
Element x y z (fractional)
Sb 0.5000 0.5000 0.7500  4 Te 3.27, 4 Sb 3.65
Te 0.0000 0.0000 0.0590  2 Be 2.50
Te 0.0000 0.0000 0.4410  2 Be 2.50
Be 0.5000 0.5000 0.2500  4 Te 2.50

(2)
This record from Alexandria describes LiPrAlH6 after structural relaxation. The functional is GGA-PBE.

**Calculated total energy**: -0.134 hartree per atom

Unit cell a=4.4880 b=4.4880 c=4.6502 alpha=90.00 beta=90.00 gamma=60.00
Closest atoms and distances in Å follow each position.
Element x y z (fractional)
Li 0.6666 0.6667 0.5000  6 H 1.80
Pr 0.0000 0.0000 0.0000  12 H 2.50
Al 0.3333 0.3333 0.5000  6 H 1.77
H 0.0054 0.4970 0.2364  1 Al 1.77, 1 Li 1.80
H 0.4969 0.0054 0.7636  1 Al 1.77, 1 Li 1.80
H 0.4976 0.4969 0.7636  1 Al 1.77, 1 Li 1.80
H 0.0055 0.4976 0.7636  1 Al 1.77, 1 Li 1.80
H 0.4969 0.4976 0.2364  1 Al 1.77, 1 Li 1.80
H 0.4975 0.0055 0.2364  1 Al 1.77, 1 Li 1.80

(3)
This record from Alexandria describes BeSn2BiAs after structural relaxation. The functional is GGA-PBE.

**ΔE_f**: 2.05 eV per formula unit

Unit cell a=4.8905 b=5.1256 c=4.8905 alpha=90.00 beta=90.00 gamma=90.00
Closest atoms and distances in Å follow each position.
Element x y z (fractional)
Be 0.0000 0.0000 0.0000  4 Sn 2.45, 2 Bi 2.56
As 0.5000 0.5000 0.5000  4 Bi 3.46, 8 Sn 3.54
Bi 0.0000 0.5000 0.0000  2 Be 2.56
Sn 0.0000 0.0000 0.5000  2 Be 2.45
Sn 0.5000 0.0000 0.0000  2 Be 2.45

(4)
This record from Alexandria describes LiTlBiS3 after structural relaxation. The functional is GGA-PBE.

**Calculated total energy**: -0.143 hartree per atom

Unit cell a=4.0036 b=8.3340 c=8.9672 alpha=102.64 beta=90.00 gamma=90.00
Closest atoms and distances in Å follow each position.
Element x y z (fractional)
Li 0.2500 0.0797 0.5880  4 S 2.42-2.45, 2 Li 2.71
Li 0.7500 0.9203 0.4120  4 S 2.42-2.45, 2 Li 2.71
Tl 0.7500 0.7964 0.7432  6 S 3.01-3.24, 1 Li 3.35
Tl 0.2500 0.2036 0.2568  6 S 3.01-3.24, 1 Li 3.35
Bi 0.2500 0.6771 0.1637  6 S 2.74-2.88
Bi 0.7500 0.3229 0.8363  6 S 2.74-2.88
S 0.2500 0.7838 0.4755  3 Li 2.43-2.45
S 0.7500 0.8967 0.1377  1 Li 2.42
S 0.7500 0.4328 0.1637  3 Bi 2.86-2.88, 2 Tl 3.01
S 0.7500 0.2162 0.5245  3 Li 2.43-2.45
S 0.2500 0.5672 0.8363  3 Bi 2.86-2.88, 2 Tl 3.01
S 0.2500 0.1033 0.8623  1 Li 2.42